# 1
Crystalline HfN3F at its relaxed geometry, computed with GGA-PBE.

Lattice parameters (Å, degrees): 4.237 4.237 4.237 90.00 90.00 90.00
Positions (direct):
Hf  0.000  0.000  0.000
N  0.000  0.000  0.500
N  0.000  0.500  0.000
N  0.500  0.000  0.000
F  0.500  0.500  0.500

Properties
The formation energy (no corrections) comes out at 5.2 eV/f.u.

=====

# 2
Crystalline GaP2SeO at its relaxed geometry, computed with GGA-PBE.

Lattice parameters (Å, degrees): 4.885 4.885 3.622 90.00 90.00 90.00
Positions (direct):
Ga  0.000  0.000  0.000
P  0.000  0.500  0.000
P  0.500  0.000  0.000
Se  0.500  0.500  0.500
O  0.000  0.000  0.500

Properties
As for the distance to the lowest polymorph of the same formula: 0 meV per atom. The formation energy (no corrections) comes out at 1.8 eV/f.u.